## Fe2AsIr (PBE)

Data for an optimized crystal structure of Fe2AsIr.

Total DFT energy (no corrections) = -30.15 eV per cell
Formation enthalpy at 0 K = 28 kJ/mol of formula units
Volume = 13.4 A^3/atom

abc: 4.235 4.235 4.235
angles: 60.00 60.00 60.00
Fractional coordinates of all 4 atoms:
Fe  0.000  0.000  0.000
Fe  0.250  0.250  0.250
As  0.750  0.750  0.750
Ir  0.500  0.500  0.500